! TbEu2Dy GGA-PBE relaxed; values from VASP
! - Total DFT energy (no corrections): -7.214 eV/atom
! - SG: R-3m, No. 166
! - Energy above the most stable polymorph in this dataset: 0.111 eV/atom
! - Total magnetic moment: 15.60 μB per formula unit
&SYSTEM
  ibrav = 0, nat = 4, ntyp = 3
/
ATOMIC_SPECIES
Eu 151.96 Eu.upf
Dy 162.50 Dy.upf
Tb 158.93 Tb.upf
CELL_PARAMETERS angstrom
3.581 0.000 0.000
1.790 3.101 0.000
1.790 1.034 12.896
ATOMIC_POSITIONS angstrom
Eu 1.790 1.034 9.506
Eu 5.371 3.101 3.390
Dy 3.581 2.067 6.448
Tb 0.000 0.000 0.000

---

! TbEuDy GGA-PBE relaxed; values from VASP
! - Total DFT energy (no corrections): -6.449 eV/atom
! - SG: P3m1, No. 156
! - Total magnetic moment: 7.29 μB per formula unit
&SYSTEM
  ibrav = 0, nat = 3, ntyp = 3
/
ATOMIC_SPECIES
Eu 151.96 Eu.upf
Tb 158.93 Tb.upf
Dy 162.50 Dy.upf
CELL_PARAMETERS angstrom
-2.844 -0.198 2.263
2.393 -2.738 -0.159
4.843 3.859 6.423
ATOMIC_POSITIONS angstrom
Eu 4.840 3.857 6.420
Tb 0.574 0.288 3.673
Dy 3.821 0.638 4.857

---

! TbEu2Dy GGA-PBE relaxed; values from VASP
! - Total DFT energy (no corrections): -7.325 eV/atom
! - SG: P4/mmm, No. 123
! - Energy above the most stable polymorph in this dataset: 0.000 eV/atom
! - Total magnetic moment: 15.19 μB per formula unit
&SYSTEM
  ibrav = 0, nat = 4, ntyp = 3
/
ATOMIC_SPECIES
Tb 158.93 Tb.upf
Eu 151.96 Eu.upf
Dy 162.50 Dy.upf
CELL_PARAMETERS angstrom
-0.996 1.218 -3.294
-2.856 -2.272 0.023
-5.920 7.487 4.557
ATOMIC_POSITIONS angstrom
Tb -4.886 3.216 0.643
Eu -4.443 5.620 3.421
Eu -1.476 1.867 1.136
Dy -1.926 -0.527 -1.635

---

! TbEu2Dy GGA-PBE relaxed; values from VASP
! - Total DFT energy (no corrections): -7.276 eV/atom
! - SG: P4/mmm, No. 123
! - Energy above the most stable polymorph in this dataset: 0.049 eV/atom
! - Total magnetic moment: 14.59 μB per formula unit
&SYSTEM
  ibrav = 0, nat = 4, ntyp = 3
/
ATOMIC_SPECIES
Tb 158.93 Tb.upf
Eu 151.96 Eu.upf
Dy 162.50 Dy.upf
CELL_PARAMETERS angstrom
-2.071 3.391 1.178
-2.679 -3.089 4.181
4.299 1.328 3.736
ATOMIC_POSITIONS angstrom
Tb -0.226 0.815 4.547
Eu -1.339 -1.544 2.090
Eu 2.149 0.664 1.868
Dy -1.036 1.695 0.589

---

! TbEuDy2 GGA-PBE relaxed; values from VASP
! - Total DFT energy (no corrections): -5.970 eV/atom
! - SG: R-3m, No. 166
! - Energy above the most stable polymorph in this dataset: 0.000 eV/atom
! - Total magnetic moment: 7.66 μB per formula unit
&SYSTEM
  ibrav = 0, nat = 4, ntyp = 3
/
ATOMIC_SPECIES
Dy 162.50 Dy.upf
Eu 151.96 Eu.upf
Tb 158.93 Tb.upf
CELL_PARAMETERS angstrom
3.605 0.000 0.000
1.802 3.122 0.000
1.802 1.041 11.872
ATOMIC_POSITIONS angstrom
Dy 1.802 1.041 2.840
Dy 5.407 3.122 9.033
Eu 3.605 2.081 5.936
Tb 0.000 0.000 0.000

---

! TbEuDy2 GGA-PBE relaxed; values from VASP
! - Total DFT energy (no corrections): -5.970 eV/atom
! - SG: P4/mmm, No. 123
! - Energy above the most stable polymorph in this dataset: 0.000 eV/atom
! - Total magnetic moment: 7.43 μB per formula unit
&SYSTEM
  ibrav = 0, nat = 4, ntyp = 3
/
ATOMIC_SPECIES
Eu 151.96 Eu.upf
Dy 162.50 Dy.upf
Tb 158.93 Tb.upf
CELL_PARAMETERS angstrom
-2.323 -2.440 1.295
2.552 -1.248 2.226
-3.018 6.700 7.214
ATOMIC_POSITIONS angstrom
Eu -1.395 1.506 5.367
Dy -0.708 1.573 1.693
Dy -2.310 5.128 5.521
Tb 0.114 -1.844 1.761